No. 1
DyTl2Pb | GGA-PBE | relaxed

Structure (POSCAR):
```
DyTl2Pb
1.0
4.6703 0.0000 0.0000
0.0000 4.6703 0.0000
0.0000 0.0000 5.1020
Dy Tl Pb
1 2 1
Cartesian
0.0000 0.0000 0.0000
0.0000 2.3351 2.5510
2.3351 0.0000 2.5510
2.3351 2.3351 0.0000
```

## Properties
The space group is P4/mmm (123). The value obtained for the formation energy is -0.2457 eV/atom.

---

No. 2
PmMgBe2H8 | GGA-PBE | relaxed

Structure (POSCAR):
```
PmMgBe2H8
1.0
4.2557 0.0000 0.0000
-2.1279 3.6856 0.0000
0.0000 0.0000 6.8175
Pm Mg Be H
1 1 2 8
Cartesian
0.0000 0.0000 0.0000
0.0000 0.0000 3.4088
0.0000 2.4571 5.0771
2.1279 1.2285 1.7405
-0.6192 1.2212 4.7641
-0.7607 3.6112 4.7641
0.7480 1.1468 2.0534
0.0000 2.4571 6.5470
2.1279 1.2285 0.2705
1.3799 2.5387 4.7641
2.8885 0.0744 2.0534
2.7471 2.4644 2.0534
```

## Properties
The space group is P-3 (147).

---

No. 3
LiHoSnAu | GGA-PBE | relaxed

Structure (POSCAR):
```
LiHoSnAu
1.0
0.0000 3.5097 3.5097
3.5097 0.0000 3.5097
3.5097 3.5097 0.0000
Li Ho Sn Au
1 1 1 1
Cartesian
0.0000 0.0000 0.0000
3.5097 3.5097 3.5097
1.7548 1.7548 1.7548
5.2645 5.2645 5.2645
```

## Properties
The space group is F-43m (216). The value obtained for the formation energy is -0.6246 eV/atom.

---

No. 4
NpTa4Te8 | GGA-PBE | relaxed

Structure (POSCAR):
```
NpTa4Te8
1.0
3.8344 2.2138 7.3519
-3.8344 2.2138 7.3519
0.0000 -4.4276 7.3519
Np Ta Te
1 4 8
Cartesian
0.0000 0.0000 0.0000
-3.8344 0.0000 11.0278
-1.9172 1.1069 3.6759
1.9172 1.1069 3.6759
0.0000 0.0000 11.0278
0.0000 0.0000 5.4328
-1.8450 -1.0652 12.7848
0.0000 -2.1304 9.2708
-1.8450 1.0652 9.2708
1.8449 -1.0652 12.7848
0.0000 2.1304 12.7848
1.8450 1.0652 9.2708
0.0000 0.0000 16.6228
```

## Properties
The value obtained for the formation energy from raw total energies is -0.221 eV/atom. The space group is R-3m (166).

---

No. 5
Li3MgCd2 | GGA-PBE | relaxed

Structure (POSCAR):
```
Li3MgCd2
1.0
0.0000 4.7163 8.2558
2.8945 0.0000 8.2558
2.8945 4.7163 0.0000
Li Mg Cd
6 2 4
Cartesian
2.8945 2.2888 6.9118
2.8945 4.7163 2.6987
2.8945 2.2888 9.5998
2.8945 7.1437 6.9118
2.8945 4.7163 13.8128
2.8945 7.1437 9.5998
2.8945 4.7163 5.5248
2.8945 4.7163 10.9868
1.4472 2.3581 4.1279
4.3328 4.7163 8.2558
1.4562 4.7163 8.2558
4.3417 7.0744 12.3837
```

## Properties
As for the offset from the most stable computed form: 0.10 eV/f.u. The space group is Fmmm (69). The value obtained for the formation energy is -0.1813 eV/atom.

---

No. 6
Fe2TeCl | GGA-PBE | relaxed

Structure (POSCAR):
```
Fe2TeCl
1.0
1.6605 0.9587 7.4053
-1.6605 0.9587 7.4053
0.0000 -1.9174 7.4053
Fe Te Cl
2 1 1
Cartesian
0.0000 0.0000 5.5036
0.0000 0.0000 16.7124
0.0000 0.0000 0.0000
0.0000 0.0000 11.1080
```

## Properties
As for the offset from the most stable computed form: 1.95 eV/f.u. The value obtained for the formation energy from raw total energies is 0.331 eV/atom. The space group is R-3m (166).

---

No. 7
Sc2MnHPt | GGA-PBE | relaxed

Structure (POSCAR):
```
Sc2MnHPt
1.0
4.5273 0.0000 0.0000
0.0000 4.5273 0.0000
0.0000 0.0000 3.3424
Sc Mn H Pt
2 1 1 1
Cartesian
0.0000 2.2637 0.0000
2.2637 0.0000 0.0000
0.0000 0.0000 1.6712
0.0000 0.0000 0.0000
2.2637 2.2637 1.6712
```

## Properties
The space group is P4/mmm (123).

---

No. 8
RbBaSr2Ag | GGA-PBE | relaxed

Structure (POSCAR):
```
RbBaSr2Ag
1.0
6.3870 0.0000 0.0000
0.0000 6.3870 0.0000
0.0000 0.0000 6.7881
Rb Ba Sr Ag
1 1 2 1
Cartesian
0.0000 0.0000 0.0000
3.1935 3.1935 0.0000
0.0000 3.1935 3.3941
3.1935 0.0000 3.3941
0.0000 0.0000 3.3941
```

## Properties
As for the offset from the most stable computed form: 0.49 eV/f.u. The space group is P4/mmm (123). The value obtained for the formation energy is 0.0455 eV/atom.

---

Uncorrected energy values (in hartree per atom) by entry order: -0.129 -0.132 -0.149 -0.250 -0.063 -0.189 -0.252 -0.065.